Record 1
BaCd2As2O8 | GGA-PBE | optimized geometry

Geometry as POSCAR:
```
BaCd2As2O8
1.0
-1.2841 7.5421 2.3977
2.0275 5.1589 5.7928
3.8369 6.9479 1.1345
Cd As O Ba
2 2 8 1
Direct
0.8165 0.8165 0.8165
0.1835 0.1835 0.1835
0.4143 0.4143 0.4143
0.5857 0.5857 0.5857
0.3385 0.3385 0.3385
0.3924 0.7698 0.1580
0.6615 0.6615 0.6615
0.8420 0.6076 0.2302
0.2302 0.8420 0.6076
0.7698 0.1580 0.3924
0.6076 0.2302 0.8420
0.1580 0.3924 0.7698
0.0000 0.0000 0.0000
```

Summary:
For the uncorrected energy, the calculation gives -72.86 eV/cell.

=====

Record 2
BaCdAsO | GGA-PBE | optimized geometry

Geometry as POSCAR:
```
BaCdAsO
1.0
3.1680 -3.1680 0.0000
3.1680 3.1680 0.0000
0.0000 0.0000 9.9592
Cd Ba O As
2 2 2 2
Direct
0.7500 0.2500 0.5000
0.2500 0.7500 0.5000
0.2500 0.2500 0.1244
0.7500 0.7500 0.8756
0.7500 0.2500 0.0000
0.2500 0.7500 0.0000
0.2500 0.2500 0.6640
0.7500 0.7500 0.3360
```

Summary:
For the uncorrected energy, the calculation gives -33.44 eV/cell. For the energy above the most stable polymorph in this dataset, the calculation gives 0.066 eV per atom.

=====

Record 3
BaCd2As2S6 | GGA-PBE | optimized geometry

Geometry as POSCAR:
```
BaCd2As2S6
1.0
4.0250 -4.0025 0.0000
4.0250 4.0025 0.0000
0.0000 0.0000 17.1025
S Cd As Ba
12 4 4 2
Direct
0.0800 0.4857 0.6011
0.5800 0.9857 0.8989
0.0143 0.4200 0.8989
0.5143 0.9200 0.6011
0.4732 0.5268 0.2637
0.4857 0.0800 0.3989
0.0268 0.9732 0.7637
0.9732 0.0268 0.2363
0.5268 0.4732 0.7363
0.4200 0.0143 0.1011
0.9200 0.5143 0.3989
0.9857 0.5800 0.1011
0.0024 0.4976 0.2500
0.5024 0.9976 0.2500
0.4976 0.0024 0.7500
0.9976 0.5024 0.7500
0.9794 0.0206 0.8957
0.5206 0.4794 0.3957
0.0206 0.9794 0.1043
0.4794 0.5206 0.6043
0.0000 0.0000 0.5000
0.5000 0.5000 0.0000
```

Summary:
For the uncorrected energy, the calculation gives -91.05 eV/cell.

=====

Record 4
BaCd2SbAs | GGA-PBE | optimized geometry

Geometry as POSCAR:
```
BaCd2SbAs
1.0
5.1669 0.0000 0.0000
0.0000 5.1669 0.0000
0.0000 0.0000 10.8236
As Cd Sb Ba
2 4 2 2
Direct
0.5000 0.5000 0.5000
0.0000 0.0000 0.5000
0.0000 0.5000 0.5995
0.0000 0.0000 0.0000
0.5000 0.5000 0.0000
0.5000 0.0000 0.4005
0.5000 0.0000 0.1360
0.0000 0.5000 0.8640
0.0000 0.5000 0.2739
0.5000 0.0000 0.7261
```

Summary:
For the uncorrected energy, the calculation gives -29.95 eV/cell. For the energy above the most stable polymorph in this dataset, the calculation gives 0.093 eV per atom.

=====

Record 5
BaCd2SbAs | GGA-PBE | optimized geometry

Geometry as POSCAR:
```
BaCd2SbAs
1.0
4.7204 0.0000 0.0000
-2.3602 4.0880 0.0000
0.0000 0.0000 7.9459
Cd Sb As Ba
2 1 1 1
Direct
0.6667 0.3333 0.6386
0.0000 0.0000 0.3782
0.6667 0.3333 0.2617
0.0000 0.0000 0.7367
0.3333 0.6667 0.9847
```

Summary:
For the uncorrected energy, the calculation gives -15.44 eV/cell. For the energy above the most stable polymorph in this dataset, the calculation gives 0.000 eV per atom.

=====

Record 6
BaSrCd2As4 | GGA-PBE | optimized geometry

Geometry as POSCAR:
```
BaSrCd2As4
1.0
-9.1316 -5.2921 5.8052
-9.3144 0.4586 7.6240
7.3789 3.0833 -9.0076
As Cd Sr Ba
4 2 1 1
Direct
0.3309 0.3309 0.0000
0.9946 0.4946 0.5000
0.6764 0.6764 0.0000
0.4946 0.9946 0.5000
0.7530 0.2530 0.5000
0.2530 0.7530 0.5000
0.8902 0.8902 0.0000
0.1074 0.1074 0.0000
```

Summary:
For the uncorrected energy, the calculation gives -28.83 eV/cell.

=====

Record 7
BaCoAs | GGA-PBE | optimized geometry

Geometry as POSCAR:
```
BaCoAs
1.0
0.0000 3.5140 3.5140
3.5140 0.0000 3.5140
3.5140 3.5140 0.0000
Ba As Co
1 1 1
Direct
0.2500 0.2500 0.2500
0.0000 0.0000 0.0000
0.7500 0.7500 0.7500
```

Summary:
For the uncorrected energy, the calculation gives -13.26 eV/cell.

=====

Record 8
BaCoAs | GGA-PBE | optimized geometry

Geometry as POSCAR:
```
BaCoAs
1.0
0.0000 3.6520 3.6520
3.6520 0.0000 3.6520
3.6520 3.6520 0.0000
Ba As Co
1 1 1
Direct
0.2500 0.2500 0.2500
0.5000 0.5000 0.5000
0.0000 0.0000 0.0000
```

Summary:
For the uncorrected energy, the calculation gives -11.33 eV/cell.

=====

Record 9
BaCo2As2 | GGA-PBE | optimized geometry

Geometry as POSCAR:
```
BaCo2As2
1.0
-1.9836 1.9836 6.3160
1.9836 -1.9836 6.3160
1.9836 1.9836 -6.3160
Ba Co As
1 2 2
Direct
0.0000 0.0000 0.0000
0.7500 0.2500 0.5000
0.2500 0.7500 0.5000
0.3465 0.3465 0.0000
0.6535 0.6535 0.0000
```

Summary:
For the uncorrected energy, the calculation gives -28.52 eV/cell.

=====

Record 10
BaFeCoAs2 | GGA-PBE | optimized geometry

Geometry as POSCAR:
```
BaFeCoAs2
1.0
-1.9703 1.9703 6.2699
1.9703 -1.9703 6.2699
1.9703 1.9703 -6.2699
Co Ba As Fe
1 1 2 1
Direct
0.2500 0.7500 0.5000
0.0000 0.0000 0.0000
0.6527 0.6527 0.0000
0.3473 0.3473 0.0000
0.7500 0.2500 0.5000
```

Summary:
For the uncorrected energy, the calculation gives -29.61 eV/cell.

=====

Record 11
BaCo2GeAs | GGA-PBE | optimized geometry

Geometry as POSCAR:
```
BaCo2GeAs
1.0
-1.9957 1.9957 6.2699
1.9957 -1.9957 6.2699
1.9957 1.9957 -6.2699
Ba Co Ge As
1 2 1 1
Direct
0.9967 0.9967 0.0000
0.2514 0.7514 0.5000
0.7514 0.2514 0.5000
0.6543 0.6543 0.0000
0.3462 0.3462 0.0000
```

Summary:
For the uncorrected energy, the calculation gives -27.90 eV/cell.

=====

Record 12
BaCoAs2Ir | GGA-PBE | optimized geometry

Geometry as POSCAR:
```
BaCoAs2Ir
1.0
-2.0080 2.0080 6.4311
2.0080 -2.0080 6.4311
2.0080 2.0080 -6.4311
Co As Ba Ir
1 2 1 1
Direct
0.2500 0.7500 0.5000
0.3554 0.3554 0.0000
0.6446 0.6446 0.0000
0.0000 0.0000 0.0000
0.7500 0.2500 0.5000
```

Summary:
For the uncorrected energy, the calculation gives -30.23 eV/cell.